No. 1
ReSeSN2 | PBE | relaxed

Cell and atoms, written as extended XYZ:
```
5
Lattice="3.6212 0.0000 0.0000 0.0000 3.6212 0.0000 0.0000 0.0000 6.3345" Properties=species:S:1:pos:R:3 pbc="T T T"
Re 0.0000 0.0000 0.0000
Se 1.8106 1.8106 3.1673
S 1.8106 1.8106 0.0000
N 0.0000 1.8106 3.1673
N 1.8106 0.0000 3.1673
```

Values from the calculation:
calculated total energy	-5.27	eV/atom
raw formation energy	2.08	eV/atom
SG	P4/mmm (123)

No. 2
ReSeSN2 | PBE | relaxed

Cell and atoms, written as extended XYZ:
```
5
Lattice="3.8179 0.0000 0.0000 0.0000 3.8179 0.0000 0.0000 0.0000 5.2997" Properties=species:S:1:pos:R:3 pbc="T T T"
Re 0.0000 0.0000 0.0000
Se 1.9090 1.9090 2.6499
S 0.0000 0.0000 2.6499
N 0.0000 1.9090 0.0000
N 1.9090 0.0000 0.0000
```

Values from the calculation:
calculated total energy	-6.67	eV/atom
raw formation energy	0.67	eV/atom
SG	P4/mmm (123)

No. 3
ReSiS2N | PBE | relaxed

Cell and atoms, written as extended XYZ:
```
5
Lattice="4.7063 0.0000 0.0000 0.0000 4.7063 0.0000 0.0000 0.0000 3.2111" Properties=species:S:1:pos:R:3 pbc="T T T"
Re 0.0000 0.0000 0.0000
Si 2.3531 2.3531 1.6056
S 0.0000 2.3531 1.6056
S 2.3531 0.0000 1.6056
N 2.3531 2.3531 0.0000
```

Values from the calculation:
calculated total energy	-6.07	eV/atom
raw formation energy	0.82	eV/atom
SG	P4/mmm (123)

No. 4
ReSiS2N | PBE | relaxed

Cell and atoms, written as extended XYZ:
```
5
Lattice="4.8069 0.0000 0.0000 0.0000 4.8069 0.0000 0.0000 0.0000 3.7253" Properties=species:S:1:pos:R:3 pbc="T T T"
Re 0.0000 0.0000 0.0000
Si 2.4034 2.4034 1.8627
S 0.0000 2.4034 0.0000
S 2.4034 0.0000 0.0000
N 0.0000 0.0000 1.8627
```

Values from the calculation:
calculated total energy	-6.41	eV/atom
raw formation energy	0.48	eV/atom
SG	P4/mmm (123)

No. 5
ReSnSN2 | PBE | relaxed

Cell and atoms, written as extended XYZ:
```
5
Lattice="4.0321 0.0000 0.0000 0.0000 4.0321 0.0000 0.0000 0.0000 5.1920" Properties=species:S:1:pos:R:3 pbc="T T T"
Re 0.0000 0.0000 0.0000
Sn 2.0160 2.0160 2.5960
S 2.0160 2.0160 0.0000
N 0.0000 2.0160 2.5960
N 2.0160 0.0000 2.5960
```

Values from the calculation:
calculated total energy	-5.47	eV/atom
raw formation energy	1.98	eV/atom
SG	P4/mmm (123)

No. 6
ReSnS2N | PBE | relaxed

Cell and atoms, written as extended XYZ:
```
5
Lattice="5.0554 0.0000 0.0000 0.0000 5.0554 0.0000 0.0000 0.0000 3.8993" Properties=species:S:1:pos:R:3 pbc="T T T"
Re 0.0000 0.0000 0.0000
Sn 2.5277 2.5277 1.9497
S 0.0000 2.5277 1.9497
S 2.5277 0.0000 1.9497
N 2.5277 2.5277 0.0000
```

Values from the calculation:
calculated total energy	-4.95	eV/atom
raw formation energy	1.65	eV/atom
SG	P4/mmm (123)

Which value of raw formation energy does entry 1 give? 2.08 eV/atom